Here is a geometry-optimized Sc3Te12Au5 structure from Alexandria via LeMat-Bulk. Energies are from PBE.

For the theoretical density, the calculation gives 7.3 g cm⁻³. The value obtained for the formation energy (no corrections) is -0.3371 eV per atom. The symmetry is Ia-3d, No. 230.

Cell: 14.625 14.625 14.625 Å, 109.47 109.47 109.47°
Positions (direct):
Sc 0.750 0.375 0.125
Sc 0.875 0.750 0.125
Sc 0.375 0.750 0.625
Sc 0.250 0.125 0.375
Sc 0.875 0.125 0.250
Sc 0.375 0.625 0.250
Sc 0.625 0.375 0.750
Sc 0.125 0.875 0.750
Sc 0.750 0.875 0.625
Sc 0.625 0.250 0.375
Sc 0.125 0.250 0.875
Sc 0.250 0.625 0.875
Au 0.125 0.375 0.250
Au 0.000 0.500 0.000
Au 0.000 0.000 0.000
Au 0.375 0.250 0.125
Au 0.500 0.000 0.500
Au 0.500 0.500 0.000
Au 0.125 0.750 0.375
Au 0.750 0.125 0.875
Au 0.750 0.625 0.375
Au 0.375 0.125 0.750
Au 0.625 0.875 0.250
Au 0.500 0.500 0.500
Au 0.500 0.000 0.000
Au 0.000 0.000 0.500
Au 0.250 0.375 0.625
Au 0.250 0.875 0.125
Au 0.000 0.500 0.500
Au 0.875 0.250 0.625
Au 0.625 0.750 0.875
Au 0.875 0.625 0.750
Te 0.721 0.138 0.051
Te 0.330 0.551 0.413
Te 0.949 0.362 0.279
Te 0.551 0.221 0.138
Te 0.583 0.721 0.670
Te 0.949 0.587 0.170
Te 0.330 0.779 0.417
Te 0.087 0.917 0.138
Te 0.587 0.949 0.670
Te 0.721 0.583 0.170
Te 0.779 0.449 0.362
Te 0.830 0.913 0.051
Te 0.138 0.721 0.551
Te 0.362 0.413 0.083
Te 0.083 0.913 0.362
Te 0.417 0.138 0.587
Te 0.083 0.170 0.221
Te 0.449 0.670 0.087
Te 0.830 0.917 0.279
Te 0.138 0.417 0.087
Te 0.362 0.949 0.779
Te 0.587 0.638 0.417
Te 0.913 0.830 0.551
Te 0.779 0.330 0.917
Te 0.413 0.362 0.583
Te 0.087 0.170 0.449
Te 0.221 0.670 0.083
Te 0.170 0.083 0.721
Te 0.638 0.051 0.221
Te 0.862 0.583 0.913
Te 0.551 0.330 0.913
Te 0.583 0.862 0.413
Te 0.917 0.830 0.779
Te 0.917 0.087 0.638
Te 0.862 0.279 0.449
Te 0.170 0.087 0.949
Te 0.638 0.587 0.917
Te 0.413 0.051 0.330
Te 0.279 0.417 0.830
Te 0.221 0.551 0.638
Te 0.913 0.083 0.862
Te 0.670 0.221 0.583
Te 0.449 0.779 0.862
Te 0.051 0.413 0.830
Te 0.417 0.279 0.330
Te 0.051 0.638 0.721
Te 0.670 0.449 0.587
Te 0.279 0.862 0.949